CdHgSe2Br | the Alexandria database | PBE | optimized geometry; E_tot = -1.6880 eV/atom; symmetry = No. 123; M_tot = 2.88 μB per cell; relative energy among the computed polymorphs = 0.00 kJ per mole of atoms; ΔE_f (raw) = 6.54 kcal/mol of atoms; mass density = 5.58 Mg/m³
1.0
5.439 0.000 0.000
0.000 5.439 0.000
0.000 0.000 5.540
Cd Hg Se Br
1 1 2 1
Direct
0.000 0.000 0.000
0.500 0.500 0.500
0.000 0.500 0.000
0.500 0.000 0.000
0.000 0.000 0.500

Ga4Pd | the Alexandria database | PBE | optimized geometry; E_tot = -3.4645 eV/atom; symmetry = No. 221; M_tot = 0.00 μB per cell; relative energy among the computed polymorphs = 21.80 kJ per mole of atoms; formation enthalpy at 0 K = -0.004 eV/atom; mass density = 5.66 Mg/m³
1.0
4.834 0.000 0.000
0.000 4.834 0.000
0.000 0.000 4.834
Ga Pd
4 1
Direct
0.000 0.000 0.000
0.000 0.500 0.500
0.500 0.000 0.500
0.500 0.500 0.000
0.500 0.500 0.500

- What is the formula in the first record?
  CdHgSe2Br

What did the second record say?
Ga4Pd | the Alexandria database | PBE | optimized geometry; E_tot = -3.4645 eV/atom; symmetry = No. 221; M_tot = 0.00 μB per cell; relative energy among the computed polymorphs = 21.80 kJ per mole of atoms; formation enthalpy at 0 K = -0.004 eV/atom; mass density = 5.66 Mg/m³
1.0
4.834 0.000 0.000
0.000 4.834 0.000
0.000 0.000 4.834
Ga Pd
4 1
Direct
0.000 0.000 0.000
0.000 0.500 0.500
0.500 0.000 0.500
0.500 0.500 0.000
0.500 0.500 0.500

- Which of these has the highest M_tot?
  CdHgSe2Br

- Which of these has the highest mass density?
  Ga4Pd